No. 1
A plane-wave DFT calculation with GGA-PBE was carried out for Li2Nd3Pd3 after structural relaxation.

a b c (Å): 8.610 8.610 5.707
angles (deg): 90.00 90.00 120.00
Fractional positions:
Li: 0.333 0.667 0.000
Li: 0.333 0.667 0.500
Li: 0.667 0.333 0.000
Li: 0.667 0.333 0.500
Nd: 0.000 0.266 0.250
Nd: 0.000 0.734 0.750
Nd: 0.266 0.000 0.250
Nd: 0.266 0.266 0.750
Nd: 0.734 0.000 0.750
Nd: 0.734 0.734 0.250
Pd: 0.000 0.394 0.750
Pd: 0.000 0.606 0.250
Pd: 0.394 0.000 0.750
Pd: 0.394 0.394 0.250
Pd: 0.606 0.000 0.250
Pd: 0.606 0.606 0.750

Output
E_tot (eV per cell): -76.287

=====

No. 2
A plane-wave DFT calculation with GGA-PBE was carried out for La6C2Cl3F after structural relaxation.

a b c (Å): 6.685 6.685 7.534
angles (deg): 98.51 98.51 120.05
Fractional positions:
La: 0.088 0.434 0.803
La: 0.220 0.220 0.197
La: 0.434 0.088 0.803
La: 0.566 0.912 0.197
La: 0.780 0.780 0.803
La: 0.912 0.566 0.197
C: 0.166 0.834 0.000
C: 0.834 0.166 0.000
Cl: 0.000 0.000 0.500
Cl: 0.331 0.669 0.500
Cl: 0.669 0.331 0.500
F: 0.500 0.500 0.000

Output
E_tot (eV per cell): -72.044
Raw formation energy (eV per atom): -1.385

=====

No. 3
A plane-wave DFT calculation with GGA-PBE was carried out for Pm2Sm2Tm5 after structural relaxation.

a b c (Å): 8.785 8.785 9.518
angles (deg): 101.16 101.16 23.65
Fractional positions:
Pm: 0.181 0.181 0.251
Pm: 0.819 0.819 0.749
Sm: 0.483 0.483 0.676
Sm: 0.517 0.517 0.324
Tm: 0.000 0.000 0.000
Tm: 0.149 0.149 0.600
Tm: 0.336 0.336 0.075
Tm: 0.664 0.664 0.925
Tm: 0.851 0.851 0.400

Output
E_tot (eV per cell): -40.993

=====

No. 4
A plane-wave DFT calculation with GGA-PBE was carried out for CuSbTe2N after structural relaxation.

a b c (Å): 5.458 5.458 3.677
angles (deg): 90.00 90.00 90.00
Fractional positions:
Cu: 0.000 0.000 0.000
Sb: 0.500 0.500 0.500
Te: 0.000 0.500 0.000
Te: 0.500 0.000 0.000
N: 0.000 0.000 0.500

Output
E_tot (eV per cell): -19.325
Raw formation energy (eV per atom): 0.700